(1)
Below is a geometry-optimized Pr5Nd2Sn4 structure, with properties calculated at the PBE level.

Values from the calculation:
Calculated total energy in eV per cell: -52.5
Energy of formation in eV per atom: -0.278
Total moment in Bohr magnetons per cell: 0.00

Cell: 13.862 13.862 7.642 Å, 91.70 91.70 14.91°
Fractional positions:
Pr (0.000, 0.000, 0.000)
Pr (0.266, 0.266, 0.775)
Pr (0.363, 0.363, 0.168)
Pr (0.637, 0.637, 0.832)
Pr (0.734, 0.734, 0.225)
Nd (0.410, 0.410, 0.700)
Nd (0.590, 0.590, 0.300)
Sn (0.173, 0.173, 0.505)
Sn (0.470, 0.470, 0.341)
Sn (0.530, 0.530, 0.659)
Sn (0.827, 0.827, 0.495)



(2)
Below is a geometry-optimized LiIn3Pd2Au3 structure, with properties calculated at the PBE level.

Values from the calculation:
Calculated total energy in eV per cell: -33.3
Energy of formation in eV per atom: -0.331
Total moment in Bohr magnetons per cell: 0.00

Cell: 7.877 7.877 3.002 Å, 90.00 90.00 120.00°
Fractional positions:
Li (0.000, 0.000, 0.000)
In (0.000, 0.375, 0.000)
In (0.375, 0.000, 0.000)
In (0.625, 0.625, 0.000)
Pd (0.333, 0.667, 0.500)
Pd (0.667, 0.333, 0.500)
Au (0.000, 0.723, 0.500)
Au (0.277, 0.277, 0.500)
Au (0.723, 0.000, 0.500)



(3)
Below is a geometry-optimized CrNiH3 structure, with properties calculated at the PBE level.

Values from the calculation:
Calculated total energy in eV per cell: -100.2
Total moment in Bohr magnetons per cell: 0.00

Cell: 5.713 5.713 4.371 Å, 95.80 95.80 78.76°
Fractional positions:
Cr (0.161, 0.328, 0.486)
Cr (0.328, 0.161, 0.986)
Cr (0.672, 0.839, 0.014)
Cr (0.839, 0.672, 0.514)
Ni (0.087, 0.913, 0.250)
Ni (0.274, 0.726, 0.750)
Ni (0.726, 0.274, 0.250)
Ni (0.913, 0.087, 0.750)
H (0.019, 0.230, 0.105)
H (0.144, 0.635, 0.390)
H (0.230, 0.019, 0.605)
H (0.336, 0.428, 0.805)
H (0.365, 0.856, 0.110)
H (0.428, 0.336, 0.305)
H (0.572, 0.664, 0.695)
H (0.635, 0.144, 0.890)
H (0.664, 0.572, 0.195)
H (0.770, 0.981, 0.395)
H (0.856, 0.365, 0.610)
H (0.981, 0.770, 0.895)



(4)
Below is a geometry-optimized PaMnAsN structure, with properties calculated at the PBE level.

Values from the calculation:
Uncorrected formation energy in kJ per mole of atoms: -109.17
Calculated total energy in eV per cell: -72.3
Total moment in Bohr magnetons per cell: 4.03

Cell: 3.856 3.856 8.445 Å, 90.00 90.00 90.00°
Fractional positions:
Pa (0.250, 0.250, 0.145)
Pa (0.750, 0.750, 0.855)
Mn (0.250, 0.750, 0.500)
Mn (0.750, 0.250, 0.500)
As (0.250, 0.250, 0.674)
As (0.750, 0.750, 0.326)
N (0.250, 0.750, 0.000)
N (0.750, 0.250, 0.000)